1.
Material: Mg
Method: DFT, PBE
State: optimized geometry

Calculated values
Density ... 1751 kg/m3
Energy of formation from the pure elements ... 0.004 eV per atom

Cell: 3.1813 3.1813 10.5208 Å, 90.00 90.00 120.00°
Fractional coordinates of all 4 atoms:
Mg 0.0000 0.0000 0.0000
Mg 0.0000 0.0000 0.5000
Mg 0.3333 0.6667 0.2500
Mg 0.6667 0.3333 0.7500

2.
Material: Tb2PrNdY2
Method: DFT, PBE
State: optimized geometry

Calculated values
Density ... 6320 kg/m3
Energy of formation from the pure elements ... 0.283 eV per atom

Cell: 6.6891 17.9364 3.4198 Å, 90.00 90.00 90.00°
Fractional coordinates of all 12 atoms:
Tb 0.2285 0.1813 0.0000
Tb 0.2715 0.6813 0.5000
Tb 0.7285 0.3187 0.5000
Tb 0.7715 0.8187 0.0000
Pr 0.0000 0.0000 0.0000
Pr 0.5000 0.5000 0.5000
Nd 0.0000 0.5000 0.0000
Nd 0.5000 0.0000 0.5000
Y 0.2259 0.3477 0.5000
Y 0.2741 0.8477 0.0000
Y 0.7259 0.1523 0.0000
Y 0.7741 0.6523 0.5000

3.
Material: Sc4GaPd2Au
Method: DFT, PBE
State: optimized geometry

Calculated values
Density ... 7268 kg/m3
Energy of formation from the pure elements ... -0.803 eV per atom

Cell: 8.2406 8.2406 8.2406 Å, 33.36 33.36 33.36°
Fractional coordinates of all 8 atoms:
Sc 0.1242 0.1242 0.1242
Sc 0.3751 0.3751 0.3751
Sc 0.6249 0.6249 0.6249
Sc 0.8758 0.8758 0.8758
Ga 0.5000 0.5000 0.5000
Pd 0.2441 0.2441 0.2441
Pd 0.7559 0.7559 0.7559
Au 0.0000 0.0000 0.0000

4.
Material: SmCdIrO6
Method: DFT, PBE
State: optimized geometry

Calculated values
Density ... 7338 kg/m3
Formation energy without anion corrections ... -1.367 eV per atom

Cell: 5.6670 5.6670 8.9656 Å, 90.00 90.00 120.00°
Fractional coordinates of all 18 atoms:
Sm 0.3333 0.6667 0.2500
Sm 0.6667 0.3333 0.7500
Cd 0.0000 0.0000 0.0000
Cd 0.0000 0.0000 0.5000
Ir 0.3333 0.6667 0.7500
Ir 0.6667 0.3333 0.2500
O 0.0510 0.3848 0.6294
O 0.0510 0.6662 0.8706
O 0.3338 0.3848 0.8706
O 0.3338 0.9490 0.6294
O 0.3848 0.0510 0.1294
O 0.3848 0.3338 0.3706
O 0.6152 0.6662 0.6294
O 0.6152 0.9490 0.8706
O 0.6662 0.0510 0.3706
O 0.6662 0.6152 0.1294
O 0.9490 0.3338 0.1294
O 0.9490 0.6152 0.3706

5.
Material: K2BaH6Ru
Method: DFT, PBE
State: optimized geometry

Calculated values
Density ... 2659 kg/m3
DFT total energy ... -3.624 eV per atom

Cell: 6.0407 6.0407 6.3752 Å, 90.00 90.00 120.00°
Fractional coordinates of all 10 atoms:
K 0.3333 0.6667 0.4139
K 0.6667 0.3333 0.5861
Ba 0.0000 0.0000 0.0000
H 0.1369 0.2738 0.6576
H 0.1369 0.8631 0.6576
H 0.2738 0.1369 0.3424
H 0.7262 0.8631 0.6576
H 0.8631 0.1369 0.3424
H 0.8631 0.7262 0.3424
Ru 0.0000 0.0000 0.5000

6.
Material: DyHg3
Method: DFT, PBE
State: optimized geometry

Calculated values
Density ... 11657 kg/m3
Energy of formation from the pure elements ... -0.099 eV per atom

Cell: 3.4675 3.6448 8.6141 Å, 90.00 90.00 90.00°
Fractional coordinates of all 4 atoms:
Dy 0.0000 0.0000 0.0000
Hg 0.0000 0.5000 0.2850
Hg 0.5000 0.0000 0.5074
Hg 0.5000 0.5000 0.7821

7.
Material: TlBPt2
Method: DFT, PBE
State: optimized geometry

Calculated values
Density ... 15716 kg/m3
Energy of formation from the pure elements ... 0.815 eV per atom

Cell: 4.4889 4.4889 4.4889 Å, 60.00 60.00 60.00°
Fractional coordinates of all 4 atoms:
Tl 0.0000 0.0000 0.0000
B 0.5000 0.5000 0.5000
Pt 0.2500 0.2500 0.2500
Pt 0.7500 0.7500 0.7500

8.
Material: SrCu2O4
Method: DFT, PBE
State: optimized geometry

Calculated values
Density ... 5311 kg/m3
Formation energy without anion corrections ... -1.279 eV per atom

Cell: 6.4114 6.4114 6.4114 Å, 123.85 123.85 83.46°
Fractional coordinates of all 14 atoms:
Sr 0.3750 0.1250 0.2500
Sr 0.6250 0.8750 0.7500
Cu 0.0000 0.0000 0.5000
Cu 0.0000 0.5000 0.0000
Cu 0.0000 0.5000 0.5000
Cu 0.5000 0.5000 0.0000
O 0.0273 0.1605 0.3439
O 0.1834 0.5273 0.3668
O 0.3166 0.6834 0.1561
O 0.3395 0.1834 0.8668
O 0.6605 0.8166 0.1332
O 0.6834 0.3166 0.8439
O 0.8166 0.4727 0.6332
O 0.9727 0.8395 0.6561